First-principles (PBEsol) data for crystalline SiIrRu at its relaxed geometry, as listed in Alexandria.

Cell: 2.754 2.754 6.038 Å, 90.00 90.00 120.00°
Element x y z (fractional)
Si1 0.000 0.000 0.000
Ir1 0.333 0.667 0.684
Ru1 0.667 0.333 0.305

Values from the calculation:
Energy relative to the elements, uncorrected in eV per atom: -0.3325
E in eV per atom: -8.91
Total magnetization in μB/cell: 0.0

---

First-principles (PBEsol) data for crystalline SiIr2Ru2 at its relaxed geometry, as listed in Alexandria.

Cell: 6.911 6.911 6.911 Å, 151.48 151.48 40.77°
Element x y z (fractional)
Si1 0.000 0.000 0.000
Ir1 0.403 0.403 0.000
Ir2 0.597 0.597 0.000
Ru1 0.250 0.750 0.500
Ru2 0.750 0.250 0.500

Values from the calculation:
Energy relative to the elements, uncorrected in eV per atom: 0.4202
E in eV per atom: -8.73
Total magnetization in μB/cell: 0.0

---

First-principles (PBEsol) data for crystalline SiIrRu2 at its relaxed geometry, as listed in Alexandria.

Cell: 2.799 2.799 6.641 Å, 90.00 90.00 90.00°
Element x y z (fractional)
Si1 0.000 0.000 0.000
Ir1 0.000 0.000 0.500
Ru1 0.500 0.500 0.218
Ru2 0.500 0.500 0.782

Values from the calculation:
Energy relative to the elements, uncorrected in eV per atom: -0.3021
E in eV per atom: -9.28
Total magnetization in μB/cell: 0.0

---

First-principles (PBEsol) data for crystalline SiIrRu2 at its relaxed geometry, as listed in Alexandria.

Cell: 4.243 4.243 4.243 Å, 60.00 60.00 60.00°
Element x y z (fractional)
Si1 0.000 0.000 0.000
Ir1 0.250 0.250 0.250
Ru1 0.500 0.500 0.500
Ru2 0.750 0.750 0.750

Values from the calculation:
Energy relative to the elements, uncorrected in eV per atom: 0.1113
E in eV per atom: -8.87
Total magnetization in μB/cell: 2.2